[1]
First-principles (PBE) data for crystalline SnBAs2P at its relaxed geometry, as listed in the Alexandria database.

a = 4.663 Å, b = 4.663 Å, c = 5.388 Å
α = 90.00°, β = 90.00°, γ = 90.00°
Space group P4/mmm (No. 123)
Inequivalent atoms, fractional coordinates:
1 Sn 0.000 0.000 0.000 (multiplicity 1)
2 B 0.500 0.500 0.000 (multiplicity 1)
3 As 0.000 0.500 0.500 (multiplicity 2)
4 P 0.000 0.000 0.500 (multiplicity 1)

Properties
Formation energy, eV/atom: 1.385

---

[2]
First-principles (PBE) data for crystalline Na2TiCdSi at its relaxed geometry, as listed in the Alexandria database.

a = 5.071 Å, b = 5.071 Å, c = 5.338 Å
α = 90.00°, β = 90.00°, γ = 90.00°
Space group P4/mmm (No. 123)
Inequivalent atoms, fractional coordinates:
1 Na 0.000 0.500 0.000 (multiplicity 2)
2 Ti 0.000 0.000 0.500 (multiplicity 1)
3 Cd 0.000 0.000 0.000 (multiplicity 1)
4 Si 0.500 0.500 0.500 (multiplicity 1)

Properties
Calculated total energy, eV per cell: -11.9

---

[3]
First-principles (PBE) data for crystalline NiB at its relaxed geometry, as listed in the Alexandria database.

a = 4.124 Å, b = 4.124 Å, c = 4.156 Å
α = 90.00°, β = 90.00°, γ = 90.00°
Space group P4_2/mnm (No. 136)
Inequivalent atoms, fractional coordinates:
1 Ni 0.205 0.205 0.000 (multiplicity 4)
2 B 0.166 0.166 0.500 (multiplicity 4)

Properties
Formation energy, eV/atom: 0.257

---

[4]
First-principles (PBE) data for crystalline TaZnPdAu at its relaxed geometry, as listed in the Alexandria database.

a = 6.407 Å, b = 6.407 Å, c = 6.407 Å
α = 90.00°, β = 90.00°, γ = 90.00°
Space group F-43m (No. 216)
Inequivalent atoms, fractional coordinates:
1 Ta 0.000 0.000 0.000 (multiplicity 4)
2 Zn 0.000 0.000 0.500 (multiplicity 4)
3 Pd 0.250 0.250 0.250 (multiplicity 4)
4 Au 0.250 0.250 0.750 (multiplicity 4)

Properties
Formation energy, eV/atom: -0.159

---

[5]
First-principles (PBE) data for crystalline YSc2Se at its relaxed geometry, as listed in the Alexandria database.

a = 4.153 Å, b = 4.153 Å, c = 5.562 Å
α = 90.00°, β = 90.00°, γ = 90.00°
Space group P4/mmm (No. 123)
Inequivalent atoms, fractional coordinates:
1 Y 0.000 0.000 0.000 (multiplicity 1)
2 Sc 0.000 0.500 0.500 (multiplicity 2)
3 Se 0.500 0.500 0.000 (multiplicity 1)

Properties
Calculated total energy, eV per cell: -24.1

---

[6]
First-principles (PBE) data for crystalline CsLiBr2 at its relaxed geometry, as listed in the Alexandria database.

a = 18.234 Å, b = 4.456 Å, c = 7.710 Å
α = 90.00°, β = 115.01°, γ = 90.00°
Space group C2/m (No. 12)
Inequivalent atoms, fractional coordinates:
1 Cs 0.139 0.000 0.139 (multiplicity 4)
2 Li 0.098 0.500 0.598 (multiplicity 4)
3 Br 0.000 0.500 0.247 (multiplicity 4)
4 Br 0.183 0.000 0.682 (multiplicity 4)

Properties
Calculated total energy, eV per cell: -51.1

---

[7]
First-principles (PBE) data for crystalline AlCrI3 at its relaxed geometry, as listed in the Alexandria database.

a = 5.620 Å, b = 5.620 Å, c = 5.620 Å
α = 90.00°, β = 90.00°, γ = 90.00°
Space group Pm-3m (No. 221)
Inequivalent atoms, fractional coordinates:
1 Al 0.000 0.000 0.000 (multiplicity 1)
2 Cr 0.500 0.500 0.500 (multiplicity 1)
3 I 0.000 0.000 0.500 (multiplicity 3)

Properties
Offset from the most stable computed form, eV/atom: 0.258

---

[8]
First-principles (PBE) data for crystalline CaIn3 at its relaxed geometry, as listed in the Alexandria database.

a = 6.678 Å, b = 11.491 Å, c = 5.531 Å
α = 90.00°, β = 90.00°, γ = 90.00°
Space group Cmcm (No. 63)
Inequivalent atoms, fractional coordinates:
1 Ca 0.000 0.166 0.250 (multiplicity 4)
2 In 0.000 0.338 0.750 (multiplicity 4)
3 In 0.242 0.419 0.250 (multiplicity 8)

Properties
Formation energy, eV/atom: -0.303

---

[9]
First-principles (PBE) data for crystalline SrTlH8Pt2 at its relaxed geometry, as listed in the Alexandria database.

a = 4.2609 Å, b = 4.2609 Å, c = 27.9006 Å
α = 90.00°, β = 90.00°, γ = 120.00°
Space group R-3m (No. 166, hexagonal axes)
Inequivalent atoms, fractional coordinates:
1 Sr 0.0000 0.0000 0.0000 (multiplicity 3)
2 Tl 0.0000 0.0000 0.5000 (multiplicity 3)
3 H 0.0000 0.0000 0.1889 (multiplicity 6)
4 H 0.0406 0.5203 0.0517 (multiplicity 18)
5 Pt 0.0000 0.0000 0.2499 (multiplicity 6)

Properties
Calculated total energy, eV per cell: -127.6

---

[10]
First-principles (PBE) data for crystalline KTi4Te8 at its relaxed geometry, as listed in the Alexandria database.

a = 18.971 Å, b = 3.843 Å, c = 13.379 Å
α = 90.00°, β = 130.55°, γ = 90.00°
Space group Cm (No. 8)
Inequivalent atoms, fractional coordinates:
1 K 0.000 0.000 0.000 (multiplicity 2)
2 Ti 0.155 0.000 0.473 (multiplicity 2)
3 Ti 0.172 0.500 0.843 (multiplicity 2)
4 Ti 0.328 0.000 0.157 (multiplicity 2)
5 Ti 0.345 0.500 0.526 (multiplicity 2)
6 Te 0.038 0.000 0.733 (multiplicity 2)
7 Te 0.130 0.500 0.595 (multiplicity 2)
8 Te 0.157 0.500 0.323 (multiplicity 2)
9 Te 0.193 0.500 0.069 (multiplicity 2)
10 Te 0.307 0.000 0.931 (multiplicity 2)
11 Te 0.343 0.000 0.677 (multiplicity 2)
12 Te 0.370 0.000 0.404 (multiplicity 2)
13 Te 0.462 0.500 0.266 (multiplicity 2)

Properties
Offset from the most stable computed form, eV/atom: 0.000

---

[11]
First-principles (PBE) data for crystalline U2PdRu at its relaxed geometry, as listed in the Alexandria database.

a = 2.9694 Å, b = 2.9694 Å, c = 29.9599 Å
α = 90.00°, β = 90.00°, γ = 120.00°
Space group R-3m (No. 166, hexagonal axes)
Inequivalent atoms, fractional coordinates:
1 U 0.0000 0.0000 0.0898 (multiplicity 6)
2 Pd 0.0000 0.0000 0.0000 (multiplicity 3)
3 Ru 0.0000 0.0000 0.5000 (multiplicity 3)

Properties
Formation energy, eV/atom: 0.108

---

[12]
First-principles (PBE) data for crystalline GeTeRh at its relaxed geometry, as listed in the Alexandria database.

a = 6.502 Å, b = 6.424 Å, c = 6.547 Å
α = 90.00°, β = 115.95°, γ = 90.00°
Space group P2_1/c (No. 14)
Inequivalent atoms, fractional coordinates:
1 Ge 0.146 0.150 0.334 (multiplicity 4)
2 Te 0.339 0.623 0.639 (multiplicity 4)
3 Rh 0.221 0.007 0.710 (multiplicity 4)

Properties
Calculated total energy, eV per cell: -66.4

---

[13]
First-principles (PBE) data for crystalline Dy3Pu2Ru3 at its relaxed geometry, as listed in the Alexandria database.

a = 3.974 Å, b = 12.418 Å, c = 14.809 Å
α = 90.00°, β = 90.00°, γ = 90.00°
Space group Cmcm (No. 63)
Inequivalent atoms, fractional coordinates:
1 Dy 0.000 0.066 0.124 (multiplicity 8)
2 Dy 0.000 0.368 0.250 (multiplicity 4)
3 Pu 0.000 0.218 0.586 (multiplicity 8)
4 Ru 0.000 0.307 0.750 (multiplicity 4)
5 Ru 0.000 0.405 0.044 (multiplicity 8)

Properties
Formation energy, eV/atom: -0.242